Entry from Alexandria via LeMat-Bulk: an optimized crystal structure of K2CoRh2Se6 (PBE).

Cell: 6.377 6.377 7.805 Å, 97.79 97.79 118.04°
Atoms (fractional coordinates):
K: 0.177 0.823 0.000
K: 0.823 0.177 0.000
Co: 0.000 0.000 0.500
Rh: 0.337 0.663 0.500
Rh: 0.663 0.337 0.500
Se: 0.057 0.377 0.664
Se: 0.258 0.258 0.330
Se: 0.377 0.057 0.664
Se: 0.623 0.943 0.336
Se: 0.742 0.742 0.670
Se: 0.943 0.623 0.336

Computed properties:
ρ   5.0 g/cm3
Space-group type   C2/m, No. 12
Uncorrected formation energy   -0.596 eV/atom
Total DFT energy (no corrections)   -4.68 eV per atom